VASP calculation (GGA+U) on a relaxed structure of V2ZnO4.

The structure in POSCAR format:
```
V2ZnO4
1.0
-1.154 -5.006 -3.238
4.408 -2.444 -3.387
4.171 -8.383 11.529
V Zn O
12 6 24
direct
0.169 0.668 0.833
0.496 0.496 0.623
0.500 0.500 0.998
0.668 0.169 0.833
0.500 0.000 0.501
0.831 0.831 0.292
0.000 0.500 0.501
0.836 0.332 0.167
0.171 0.171 0.711
0.332 0.836 0.167
0.504 0.504 0.377
0.837 0.837 0.041
0.163 0.163 0.958
0.834 0.834 0.668
0.667 0.667 0.834
0.167 0.167 0.333
0.000 0.000 0.501
0.332 0.332 0.167
0.340 0.805 0.914
0.492 0.492 0.755
0.805 0.340 0.914
0.347 0.347 0.915
0.666 0.149 0.579
0.996 0.996 0.755
0.827 0.827 0.423
0.518 0.000 0.755
0.149 0.666 0.579
0.843 0.843 0.910
0.672 0.672 0.578
0.000 0.518 0.755
0.999 0.485 0.246
0.329 0.329 0.423
0.850 0.335 0.421
0.485 0.999 0.246
0.159 0.159 0.094
0.173 0.173 0.579
0.005 0.005 0.245
0.335 0.850 0.421
0.657 0.657 0.084
0.188 0.665 0.085
0.508 0.508 0.243
0.665 0.188 0.085
```

Summary:
crystal system	monoclinic
total magnetic moment	4.000	μB per formula unit
energy	-6.97	eV/atom
symmetry	No. 8
volume	11.358	A^3/atom